First-principles (meta-GGA SCAN) data for a PBEsol-optimized structure of LaHPdI2, as listed in the Alexandria database.

Cell: 4.0646 5.2298 5.2298 Å, 90.00 90.00 90.00°
Last column: nearest neighbours and their distance in Å.
Atoms (fractional coordinates):
I  0.0000  0.5000  0.0000  2 H 2.61
Pd  0.5000  0.5000  0.5000  8 I 3.31, 4 La 3.70
I  0.0000  0.0000  0.5000  2 H 2.61
La  0.5000  0.0000  0.0000  2 H 2.03
H  0.0000  0.0000  0.0000  2 La 2.03

Output
SG ... P4/mmm (123)
Total magnetic moment ... 0.0 μB/f.u.
DFT total energy ... -31.04 eV/atom


First-principles (meta-GGA SCAN) data for a PBEsol-optimized structure of LaHS2I, as listed in the Alexandria database.

Cell: 5.5548 5.5548 6.2821 Å, 90.00 90.00 90.00°
Last column: nearest neighbours and their distance in Å.
Atoms (fractional coordinates):
La  0.0000  0.0000  0.0000  4 S 2.78
H  0.5000  0.5000  0.5000  4 I 3.93, 8 S 4.19
S  0.5000  0.0000  0.0000  2 La 2.78
S  0.0000  0.5000  0.0000  2 La 2.78
I  0.0000  0.0000  0.5000  2 La 3.14

Output
SG ... P4/mmm (123)
Total magnetic moment ... 3.0 μB/f.u.
DFT total energy ... -20.67 eV/atom